[1]
CrSn3Se | PBE | relaxed

Results
E_tot	-3.7506	eV/atom
raw formation energy	6.36	eV/f.u.
energy above the lowest structure with this stoichiometry	24.78	kcal/mol of atoms

Cell lengths 5.4022, 5.4022, 5.4022 Å; angles 90.00, 90.00, 90.00 degrees
Last column: nearest neighbours and their distance in Å.
Fractional positions:
Cr: 0.0000 0.0000 0.0000  12 Sn 3.82
Sn: 0.0000 0.5000 0.5000  2 Se 2.70
Sn: 0.5000 0.0000 0.5000  2 Se 2.70
Sn: 0.5000 0.5000 0.0000  2 Se 2.70
Se: 0.5000 0.5000 0.5000  6 Sn 2.70

***

[2]
CrSn2Se4 | PBE | relaxed

Results
E_tot	-4.9139	eV/atom
raw formation energy	-2.83	eV/f.u.

Cell lengths 7.2118, 12.3524, 3.9283 Å; angles 90.00, 90.00, 90.00 degrees
Last column: nearest neighbours and their distance in Å.
Fractional positions:
Cr: 0.0000 0.0000 0.0000  6 Se 2.52-2.59
Cr: 0.5000 0.5000 0.0000  6 Se 2.52-2.59
Sn: 0.1175 0.3388 0.5000  3 Se 2.79-2.83
Sn: 0.3825 0.8388 0.5000  3 Se 2.79-2.83
Sn: 0.6175 0.1612 0.5000  3 Se 2.79-2.83
Sn: 0.8825 0.6612 0.5000  3 Se 2.79-2.83
Se: 0.1132 0.8073 0.0000  1 Cr 2.52, 2 Sn 2.79
Se: 0.2194 0.0472 0.5000  2 Cr 2.59, 1 Sn 2.83
Se: 0.2806 0.5472 0.5000  2 Cr 2.59, 1 Sn 2.83
Se: 0.3868 0.3073 0.0000  1 Cr 2.52, 2 Sn 2.79
Se: 0.6132 0.6927 0.0000  1 Cr 2.52, 2 Sn 2.79
Se: 0.7194 0.4528 0.5000  2 Cr 2.59, 1 Sn 2.83
Se: 0.7806 0.9528 0.5000  2 Cr 2.59, 1 Sn 2.83
Se: 0.8868 0.1927 0.0000  1 Cr 2.52, 2 Sn 2.79

***

[3]
CrSnSe3 | PBE | relaxed

Results
E_tot	-4.8683	eV/atom
raw formation energy	-0.26	eV/f.u.

Cell lengths 4.9028, 4.9028, 4.9028 Å; angles 90.00, 90.00, 90.00 degrees
Last column: nearest neighbours and their distance in Å.
Fractional positions:
Cr: 0.0000 0.0000 0.0000  6 Se 2.45
Sn: 0.5000 0.5000 0.5000  12 Se 3.47
Se: 0.0000 0.0000 0.5000  2 Cr 2.45
Se: 0.0000 0.5000 0.0000  2 Cr 2.45
Se: 0.5000 0.0000 0.0000  2 Cr 2.45

***

[4]
CrSnSe3 | PBE | relaxed

Results
E_tot	-5.2463	eV/atom
raw formation energy	-2.15	eV/f.u.

Cell lengths 6.7958, 3.8136, 9.6680 Å; angles 90.00, 90.12, 90.00 degrees
Last column: nearest neighbours and their distance in Å.
Fractional positions:
Cr: 0.0718 0.2500 0.3333  6 Se 2.53-2.62
Cr: 0.9282 0.7500 0.6667  6 Se 2.53-2.62
Sn: 0.4283 0.2500 0.6935  4 Se 2.69-3.01
Sn: 0.5717 0.7500 0.3065  4 Se 2.69-3.01
Se: 0.0669 0.2500 0.8092  2 Cr 2.53, 1 Sn 2.70
Se: 0.2137 0.7500 0.4896  3 Cr 2.59-2.62
Se: 0.3664 0.2500 0.1724  1 Cr 2.54, 2 Sn 2.69
Se: 0.6336 0.7500 0.8276  1 Cr 2.54, 2 Sn 2.69
Se: 0.7863 0.2500 0.5104  3 Cr 2.59-2.62
Se: 0.9331 0.7500 0.1908  2 Cr 2.53, 1 Sn 2.70

***

[5]
CrSn3Se | PBE | relaxed

Results
E_tot	-4.8252	eV/atom
raw formation energy	0.99	eV/f.u.
energy above the lowest structure with this stoichiometry	0.00	kcal/mol of atoms

Cell lengths 5.0927, 5.0927, 5.0927 Å; angles 90.00, 90.00, 90.00 degrees
Last column: nearest neighbours and their distance in Å.
Fractional positions:
Cr: 0.0000 0.0000 0.0000  6 Sn 2.55
Sn: 0.0000 0.0000 0.5000  2 Cr 2.55
Sn: 0.0000 0.5000 0.0000  2 Cr 2.55
Sn: 0.5000 0.0000 0.0000  2 Cr 2.55
Se: 0.5000 0.5000 0.5000  12 Sn 3.60

***

[6]
CrSnSe | PBE | relaxed

Results
E_tot	-5.7078	eV/atom
raw formation energy	-0.01	eV/f.u.

Cell lengths 15.0221, 3.2155, 3.2155 Å; angles 60.21, 90.00, 90.00 degrees
Last column: nearest neighbours and their distance in Å.
Fractional positions:
Cr: 0.0000 0.0000 0.0000  6 Sn 2.93, 6 Cr 3.22-3.23
Cr: 0.5000 0.2260 0.2260  6 Se 2.43-2.44
Sn: 0.1507 0.3348 0.3348  3 Cr 2.93, 6 Sn 3.22-3.23
Sn: 0.8493 0.3348 0.3348  3 Cr 2.93, 6 Sn 3.22-3.23
Se: 0.3953 0.8924 0.8924  3 Cr 2.43-2.44
Se: 0.6047 0.8924 0.8924  3 Cr 2.43-2.44

***

[7]
Cr2SnSe4 | PBE | relaxed

Results
E_tot	-5.5484	eV/atom
raw formation energy	-1.65	eV/f.u.

Cell lengths 8.1627, 8.1627, 8.1627 Å; angles 128.45, 128.45, 75.89 degrees
Last column: nearest neighbours and their distance in Å.
Fractional positions:
Cr: 0.0000 0.0000 0.0000  4 Se 2.44-2.49
Cr: 0.5000 0.0000 0.0000  4 Se 2.44-2.49
Cr: 0.5000 0.0000 0.5000  4 Se 2.44-2.49
Cr: 0.5000 0.5000 0.5000  4 Se 2.44-2.49
Sn: 0.1250 0.3750 0.7500  8 Se 2.99-3.12
Sn: 0.8750 0.6250 0.2500  8 Se 2.99-3.12
Se: 0.1281 0.3168 0.0957  2 Cr 2.44-2.49
Se: 0.1832 0.7789 0.8113  2 Cr 2.44-2.49
Se: 0.2789 0.9676 0.5957  2 Cr 2.44-2.49
Se: 0.4676 0.3719 0.6887  2 Cr 2.44-2.49
Se: 0.5324 0.6281 0.3113  2 Cr 2.44-2.49
Se: 0.7211 0.0324 0.4043  2 Cr 2.44-2.49
Se: 0.8168 0.2211 0.1887  2 Cr 2.44-2.49
Se: 0.8719 0.6832 0.9043  2 Cr 2.44-2.49

***

[8]
Ta2CrSn2Se6 | PBE | relaxed

Results
E_tot	-6.1544	eV/atom
raw formation energy	-5.46	eV/f.u.

Cell lengths 6.2358, 6.2358, 8.3404 Å; angles 96.48, 96.48, 121.37 degrees
Last column: nearest neighbours and their distance in Å.
Fractional positions:
Ta: 0.1332 0.8668 0.0000  6 Se 2.58-2.76
Ta: 0.8668 0.1332 0.0000  6 Se 2.58-2.76
Cr: 0.5000 0.5000 0.0000  6 Se 2.53-2.59
Sn: 0.2129 0.7871 0.5000  4 Se 2.91-3.26, 2 Sn 3.16
Sn: 0.7871 0.2129 0.5000  4 Se 2.91-3.26, 2 Sn 3.16
Se: 0.1234 0.1234 0.7811  2 Ta 2.58, 1 Cr 2.59
Se: 0.2299 0.5692 0.1778  1 Cr 2.53, 2 Ta 2.58-2.76
Se: 0.4308 0.7701 0.8222  1 Cr 2.53, 2 Ta 2.58-2.76
Se: 0.5692 0.2299 0.1778  1 Cr 2.53, 2 Ta 2.58-2.76
Se: 0.7701 0.4308 0.8222  1 Cr 2.53, 2 Ta 2.58-2.76
Se: 0.8766 0.8766 0.2189  2 Ta 2.58, 1 Cr 2.59

***

[9]
Tl2Cr2SnSe6 | PBE | relaxed

Results
E_tot	-4.9241	eV/atom
raw formation energy	-5.28	eV/f.u.

Cell lengths 6.6403, 6.6403, 7.9857 Å; angles 97.37, 97.37, 120.40 degrees
Last column: nearest neighbours and their distance in Å.
Fractional positions:
Tl: 0.1589 0.8411 0.0000  6 Se 3.28-3.33, 1 Tl 3.66
Tl: 0.8411 0.1589 0.0000  6 Se 3.28-3.33, 1 Tl 3.66
Cr: 0.3318 0.6682 0.5000  6 Se 2.57-2.58
Cr: 0.6682 0.3318 0.5000  6 Se 2.57-2.58
Sn: 0.0000 0.0000 0.5000  6 Se 2.73-2.75
Se: 0.0581 0.4112 0.6847  2 Cr 2.57, 1 Sn 2.75
Se: 0.2980 0.2980 0.3175  2 Cr 2.58, 1 Sn 2.73
Se: 0.4112 0.0581 0.6847  2 Cr 2.57, 1 Sn 2.75
Se: 0.5888 0.9419 0.3153  2 Cr 2.57, 1 Sn 2.75
Se: 0.7020 0.7020 0.6825  2 Cr 2.58, 1 Sn 2.73
Se: 0.9419 0.5888 0.3153  2 Cr 2.57, 1 Sn 2.75

***

[10]
TlCrSnSe4 | PBE | relaxed

Results
E_tot	-4.5783	eV/atom
raw formation energy	-2.12	eV/f.u.

Cell lengths 7.1618, 6.8580, 8.2427 Å; angles 90.00, 100.59, 90.00 degrees
Last column: nearest neighbours and their distance in Å.
Fractional positions:
Tl: 0.1559 0.2500 0.0958  6 Se 3.20-3.55
Tl: 0.8441 0.7500 0.9042  6 Se 3.20-3.55
Cr: 0.1372 0.7500 0.4590  6 Se 2.56-2.57
Cr: 0.8628 0.2500 0.5410  6 Se 2.56-2.57
Sn: 0.3971 0.2500 0.6622  4 Se 2.57-2.71
Sn: 0.6029 0.7500 0.3378  4 Se 2.57-2.71
Se: 0.1085 0.0023 0.6840  2 Cr 2.57, 1 Sn 2.71
Se: 0.1085 0.4977 0.6840  2 Cr 2.57, 1 Sn 2.71
Se: 0.2529 0.7500 0.1825  1 Cr 2.56, 1 Sn 2.60
Se: 0.4821 0.7500 0.6122  1 Cr 2.56, 1 Sn 2.57
Se: 0.5179 0.2500 0.3878  1 Cr 2.56, 1 Sn 2.57
Se: 0.7471 0.2500 0.8175  1 Cr 2.56, 1 Sn 2.60
Se: 0.8915 0.5023 0.3160  2 Cr 2.57, 1 Sn 2.71
Se: 0.8915 0.9977 0.3160  2 Cr 2.57, 1 Sn 2.71